# 1
Here is an optimized crystal structure of SmHf2C from Alexandria via LeMat-Bulk. Energies are from PBE-GGA.

abc: 3.2873 3.2873 9.2202
angles: 79.73 79.73 60.00
Closest atoms and distances in Å follow each position.
Positions (direct):
C 0.5000 0.5000 0.5000  6 Hf 2.26
Hf 0.1212 0.1212 0.6363  3 C 2.26
Hf 0.8788 0.8788 0.3637  3 C 2.26
Sm 0.0000 0.0000 0.0000  2 Hf 3.28, 6 Sm 3.29

Calculated values
Energy of formation: -0.291 eV/atom
Mass density: 10.2 Mg/m³
Symmetry: R-3m, No. 166


# 2
Here is an optimized crystal structure of HfSnC3 from Alexandria via LeMat-Bulk. Energies are from PBE-GGA.

abc: 4.1626 4.1626 4.1626
angles: 90.00 90.00 90.00
Closest atoms and distances in Å follow each position.
Positions (direct):
C 0.0000 0.5000 0.0000  2 Sn 2.08
C 0.0000 0.0000 0.5000  2 Sn 2.08
C 0.5000 0.0000 0.0000  2 Sn 2.08
Hf 0.5000 0.5000 0.5000  12 C 2.94
Sn 0.0000 0.0000 0.0000  6 C 2.08

Calculated values
Energy of formation: 2.333 eV/atom
Mass density: 7.7 Mg/m³
Excess energy over the best structure of this formula in the dataset: 2.621 eV per formula unit
Symmetry: Pm-3m, No. 221


# 3
Here is an optimized crystal structure of HfSnC2 from Alexandria via LeMat-Bulk. Energies are from PBE-GGA.

abc: 5.0917 5.0917 6.2016
angles: 65.76 65.76 90.00
Closest atoms and distances in Å follow each position.
Positions (direct):
C 0.6310 0.1250 0.2500  2 Hf 2.18, 2 Sn 2.22
C 0.1190 0.6250 0.2500  2 Hf 2.18, 2 Sn 2.22
C 0.3750 0.3690 0.7500  2 Hf 2.18, 2 Sn 2.22
C 0.8750 0.8810 0.7500  2 Hf 2.18, 2 Sn 2.22
Hf 0.0000 0.0000 0.0000  4 C 2.18
Hf 0.7500 0.2500 0.5000  4 C 2.18
Sn 0.5000 0.5000 0.0000  4 C 2.22
Sn 0.2500 0.7500 0.5000  4 C 2.22

Calculated values
Energy of formation: 0.332 eV/atom
Mass density: 8.1 Mg/m³
Symmetry: I-42d, No. 122


# 4
Here is an optimized crystal structure of Hf2SnC from Alexandria via LeMat-Bulk. Energies are from PBE-GGA.

abc: 6.7699 6.7699 5.8456
angles: 54.62 54.62 90.00
Closest atoms and distances in Å follow each position.
Positions (direct):
C 0.5000 0.5000 0.0000  4 Hf 2.18
C 0.2500 0.7500 0.5000  4 Hf 2.18
Hf 0.5359 0.1250 0.2500  2 C 2.18
Hf 0.2141 0.6250 0.2500  2 C 2.18
Hf 0.3750 0.4641 0.7500  2 C 2.18
Hf 0.8750 0.7859 0.7500  2 C 2.18
Sn 0.0000 0.0000 0.0000  8 Hf 2.97-3.22
Sn 0.7500 0.2500 0.5000  8 Hf 2.97-3.22

Calculated values
Energy of formation: -0.144 eV/atom
Mass density: 10.5 Mg/m³
Excess energy over the best structure of this formula in the dataset: 2.539 eV per formula unit
Symmetry: I-42d, No. 122


# 5
Here is an optimized crystal structure of Hf6Sn3C from Alexandria via LeMat-Bulk. Energies are from PBE-GGA.

abc: 7.2707 6.0901 6.0901
angles: 60.04 72.30 72.30
Closest atoms and distances in Å follow each position.
Positions (direct):
Hf 0.3719 0.1523 0.6436  1 C 2.23
Hf 0.6281 0.3564 0.8477  1 C 2.23
Hf 0.6281 0.8477 0.3564  1 C 2.23
Hf 0.3719 0.6436 0.1523  1 C 2.23
Hf 0.2077 0.6767 0.6767  1 C 2.28
Hf 0.7923 0.3233 0.3233  1 C 2.28
Sn 0.2440 0.1910 0.1910  9 Hf 3.04-3.29, 1 Sn 3.12
Sn 0.7560 0.8090 0.8090  9 Hf 3.04-3.29, 1 Sn 3.12
Sn 0.0000 0.0000 0.0000  6 Hf 2.97-3.21, 2 Sn 3.12
C 0.5000 0.5000 0.5000  6 Hf 2.23-2.28

Calculated values
Energy of formation: -0.231 eV/atom
Mass density: 10.9 Mg/m³
Symmetry: C2/m, No. 12


# 6
Here is an optimized crystal structure of Hf3Sn2C from Alexandria via LeMat-Bulk. Energies are from PBE-GGA.

abc: 5.4774 6.4369 7.5182
angles: 102.27 111.36 90.00
Closest atoms and distances in Å follow each position.
Positions (direct):
Hf 0.5021 0.2500 0.0000  2 C 2.72-2.76, 4 Sn 3.04
Hf 0.4979 0.7500 0.0000  2 C 2.72-2.76, 4 Sn 3.04
Hf 0.1052 0.0545 0.2197  2 C 2.20
Hf 0.8855 0.4455 0.7803  2 C 2.20
Hf 0.1145 0.5545 0.2197  2 C 2.20
Hf 0.8948 0.9455 0.7803  2 C 2.20
Sn 0.6946 0.5945 0.3786  6 Hf 2.94-3.18, 2 Sn 3.22
Sn 0.6840 0.0945 0.3786  6 Hf 2.94-3.18, 2 Sn 3.22
Sn 0.3160 0.9055 0.6214  6 Hf 2.94-3.18, 2 Sn 3.22
Sn 0.3054 0.4055 0.6214  6 Hf 2.94-3.18, 2 Sn 3.22
C 0.0013 0.7500 0.0000  4 Hf 2.20
C 0.9987 0.2500 0.0000  4 Hf 2.20

Calculated values
Energy of formation: -0.363 eV/atom
Mass density: 10.8 Mg/m³
Symmetry: C2/c, No. 15


Summary of magnetic moment in Bohr magnetons per cell
0.0 0.0 0.0 0.0 0.0 0.0
(order as listed above)